Entry 1:
The following is a PBE-GGA calculation of a relaxed structure of MgRe, from the Alexandria database. Values from VASP.

Properties
Relative energy among the computed polymorphs (meV per atom): 1625
E (eV per cell): -85.28
N(E_F) (states/eV/f.u.): 2.64
Calculated formation energy (meV per atom): 1691.5

Geometry as Quantum ESPRESSO input:
```
&SYSTEM
  ibrav = 0, nat = 16, ntyp = 2
/
ATOMIC_SPECIES
Mg 24.30 Mg.upf
Re 186.21 Re.upf
ATOMIC_POSITIONS angstrom
Mg 1.792 1.792 1.792
Mg 1.792 6.744 6.744
Mg 2.476 2.476 6.061
Mg 2.476 6.061 2.476
Mg 6.061 2.476 2.476
Mg 6.061 6.061 6.061
Mg 6.744 1.792 6.744
Mg 6.744 6.744 1.792
Re 0.861 0.861 7.676
Re 0.861 7.676 0.861
Re 3.407 3.407 3.407
Re 3.407 5.130 5.130
Re 5.130 3.407 5.130
Re 5.130 5.130 3.407
Re 7.676 0.861 0.861
Re 7.676 7.676 7.676
CELL_PARAMETERS angstrom
8.537 0.000 0.000
0.000 8.537 0.000
0.000 0.000 8.537
```

=====

Entry 2:
The following is a PBE-GGA calculation of a relaxed structure of SrTa2CoBi, from the Alexandria database. Values from VASP.

Properties
E (eV per cell): -28.13
N(E_F) (states/eV/f.u.): 7.41
Calculated formation energy (meV per atom): 1648.2

Geometry as Quantum ESPRESSO input:
```
&SYSTEM
  ibrav = 0, nat = 5, ntyp = 4
/
ATOMIC_SPECIES
Sr 87.62 Sr.upf
Ta 180.95 Ta.upf
Co 58.93 Co.upf
Bi 208.98 Bi.upf
ATOMIC_POSITIONS angstrom
Sr 0.000 0.000 0.000
Ta 0.000 2.671 2.433
Ta 2.671 0.000 2.433
Co 2.671 2.671 0.000
Bi 2.671 2.671 2.433
CELL_PARAMETERS angstrom
5.342 0.000 0.000
0.000 5.342 0.000
0.000 0.000 4.867
```

=====

Entry 3:
The following is a PBE-GGA calculation of a relaxed structure of SmScInOs, from the Alexandria database. Values from VASP.

Properties
E (eV per cell): -103.22
N(E_F) (states/eV/f.u.): 2.48
Calculated formation energy (meV per atom): -196.6

Geometry as Quantum ESPRESSO input:
```
&SYSTEM
  ibrav = 0, nat = 16, ntyp = 4
/
ATOMIC_SPECIES
Sm 150.36 Sm.upf
Sc 44.96 Sc.upf
In 114.82 In.upf
Os 190.23 Os.upf
ATOMIC_POSITIONS angstrom
Sm 0.000 0.000 0.000
Sm 0.000 3.511 3.511
Sm 3.511 0.000 3.511
Sm 3.511 3.511 0.000
Sc 0.000 0.000 3.511
Sc 0.000 3.511 0.000
Sc 3.511 0.000 0.000
Sc 3.511 3.511 3.511
In 1.756 1.756 1.756
In 1.756 5.267 5.267
In 5.267 1.756 5.267
In 5.267 5.267 1.756
Os 1.756 1.756 5.267
Os 1.756 5.267 1.756
Os 5.267 1.756 1.756
Os 5.267 5.267 5.267
CELL_PARAMETERS angstrom
7.022 0.000 0.000
0.000 7.022 0.000
0.000 0.000 7.022
```

=====

Entry 4:
The following is a PBE-GGA calculation of a relaxed structure of TiFeNiPt2, from the Alexandria database. Values from VASP.

Properties
E (eV per cell): -29.41
N(E_F) (states/eV/f.u.): 5.70
Calculated formation energy (meV per atom): 961.4

Geometry as Quantum ESPRESSO input:
```
&SYSTEM
  ibrav = 0, nat = 5, ntyp = 4
/
ATOMIC_SPECIES
Ti 47.87 Ti.upf
Fe 55.84 Fe.upf
Ni 58.69 Ni.upf
Pt 195.08 Pt.upf
ATOMIC_POSITIONS angstrom
Ti 0.000 0.000 0.000
Fe 0.000 0.000 2.088
Ni 2.335 2.335 2.088
Pt 0.000 2.335 0.000
Pt 2.335 0.000 0.000
CELL_PARAMETERS angstrom
4.670 0.000 0.000
0.000 4.670 0.000
0.000 0.000 4.176
```

=====

Entry 5:
The following is a PBE-GGA calculation of a relaxed structure of K2TlCdO4, from the Alexandria database. Values from VASP.

Properties
E (eV per cell): -33.11
Energy relative to the elements, uncorrected (meV/atom): -975
N(E_F) (states/eV/f.u.): 5.40

Geometry as Quantum ESPRESSO input:
```
&SYSTEM
  ibrav = 0, nat = 8, ntyp = 4
/
ATOMIC_SPECIES
K 39.10 K.upf
Tl 204.38 Tl.upf
Cd 112.41 Cd.upf
O 16.00 O.upf
ATOMIC_POSITIONS angstrom
K 0.000 0.000 0.000
K 3.077 1.715 0.000
Tl -1.106 1.715 3.075
Cd 1.971 0.000 3.075
O -0.185 0.000 4.304
O 1.016 1.715 1.893
O 2.925 1.715 4.258
O 4.126 0.000 1.847
CELL_PARAMETERS angstrom
6.154 0.000 0.000
0.000 3.431 0.000
-2.213 0.000 6.151
```

=====

Entry 6:
The following is a PBE-GGA calculation of a relaxed structure of LiBe2H, from the Alexandria database. Values from VASP.

Properties
Relative energy among the computed polymorphs (meV per atom): 531
E (eV per cell): -36.95
N(E_F) (states/eV/f.u.): 1.11

Geometry as Quantum ESPRESSO input:
```
&SYSTEM
  ibrav = 0, nat = 16, ntyp = 3
/
ATOMIC_SPECIES
Li 6.94 Li.upf
Be 9.01 Be.upf
H 1.01 H.upf
ATOMIC_POSITIONS angstrom
Li 0.000 0.000 0.000
Li 0.000 2.587 2.587
Li 2.587 0.000 2.587
Li 2.587 2.587 0.000
Be 1.294 1.294 1.294
Be 1.294 1.294 3.881
Be 1.294 3.881 1.294
Be 1.294 3.881 3.881
Be 3.881 1.294 1.294
Be 3.881 1.294 3.881
Be 3.881 3.881 1.294
Be 3.881 3.881 3.881
H 0.000 0.000 2.587
H 0.000 2.587 0.000
H 2.587 0.000 0.000
H 2.587 2.587 2.587
CELL_PARAMETERS angstrom
5.174 0.000 0.000
0.000 5.174 0.000
0.000 0.000 5.174
```

=====

Entry 7:
The following is a PBE-GGA calculation of a relaxed structure of PmY6Er8, from the Alexandria database. Values from VASP.

Properties
Relative energy among the computed polymorphs (meV per atom): 114
E (eV per cell): -78.12
N(E_F) (states/eV/f.u.): 23.26
Calculated formation energy (meV per atom): 127.8

Geometry as Quantum ESPRESSO input:
```
&SYSTEM
  ibrav = 0, nat = 15, ntyp = 3
/
ATOMIC_SPECIES
Pm 145.00 Pm.upf
Y 88.91 Y.upf
Er 167.26 Er.upf
ATOMIC_POSITIONS angstrom
Pm 0.000 0.000 0.000
Y -0.545 -1.924 5.990
Y -1.394 1.434 5.990
Y -1.939 -0.490 14.503
Y 1.939 0.490 5.990
Y 1.394 -1.434 14.503
Y 0.545 1.924 14.503
Er -2.857 -1.519 10.754
Er -0.113 -3.234 9.739
Er -2.744 1.715 9.739
Er 0.000 0.000 8.689
Er 0.000 0.000 11.804
Er 2.744 -1.715 10.754
Er 0.113 3.234 10.754
Er 2.857 1.519 9.739
CELL_PARAMETERS angstrom
4.507 2.602 6.831
-4.507 2.602 6.831
0.000 -5.205 6.831
```

=====

Entry 8:
The following is a PBE-GGA calculation of a relaxed structure of LiCe2P4Pd3, from the Alexandria database. Values from VASP.

Properties
E (eV per cell): -60.22
N(E_F) (states/eV/f.u.): 12.57
Calculated formation energy (meV per atom): -922.3

Geometry as Quantum ESPRESSO input:
```
&SYSTEM
  ibrav = 0, nat = 10, ntyp = 4
/
ATOMIC_SPECIES
Li 6.94 Li.upf
Ce 140.12 Ce.upf
P 30.97 P.upf
Pd 106.42 Pd.upf
ATOMIC_POSITIONS angstrom
Li 0.000 0.000 0.000
Ce 0.000 2.140 7.154
Ce 2.140 0.000 2.454
P 0.000 0.000 4.804
P 0.000 2.140 1.314
P 2.140 0.000 8.294
P 2.140 2.140 4.804
Pd 0.000 2.140 3.716
Pd 2.140 0.000 5.892
Pd 2.140 2.140 0.000
CELL_PARAMETERS angstrom
4.280 0.000 0.000
0.000 4.280 0.000
0.000 0.000 9.608
```